Here is Y2In3Au after structural relaxation from the Alexandria database. Energies are from PBE-GGA.

abc: 3.591 4.859 8.451
angles: 90.00 90.00 90.00
Sites, in units of the cell vectors:
Y1 0.000 0.000 0.000
Y2 0.000 0.500 0.479
In1 0.500 0.000 0.647
In2 0.500 0.500 0.161
In3 0.500 0.500 0.823
Au1 0.500 0.000 0.319

Output
- Crystal system: orthorhombic
- Calculated formation energy: -0.55 eV per atom
- Size of the total moment: 0.0000 μB per atom
- Calculated density: 8.10 g/cm³

***

Here is Y2InAu2 after structural relaxation from the Alexandria database. Energies are from PBE-GGA.

abc: 8.360 8.360 3.600
angles: 90.00 90.00 90.00
Sites, in units of the cell vectors:
Y1 0.158 0.342 0.000
Y2 0.342 0.842 0.000
Y3 0.658 0.158 0.000
Y4 0.842 0.658 0.000
In1 0.000 0.000 0.000
In2 0.500 0.500 0.000
Au1 0.133 0.633 0.500
Au2 0.367 0.133 0.500
Au3 0.633 0.867 0.500
Au4 0.867 0.367 0.500

Output
- Crystal system: tetragonal
- Calculated formation energy: -0.59 eV per atom
- Size of the total moment: 0.0000 μB per atom
- Calculated density: 9.06 g/cm³

***

Here is YIn2Au after structural relaxation from the Alexandria database. Energies are from PBE-GGA.

abc: 4.509 4.509 4.546
angles: 90.00 90.00 90.00
Sites, in units of the cell vectors:
Y1 0.000 0.000 0.000
In1 0.000 0.500 0.500
In2 0.500 0.000 0.500
Au1 0.500 0.500 0.000

Output
- Crystal system: tetragonal
- Calculated formation energy: -0.51 eV per atom
- Size of the total moment: 0.0000 μB per atom
- Calculated density: 9.26 g/cm³

***

Here is YIn2Au4 after structural relaxation from the Alexandria database. Energies are from PBE-GGA.

abc: 8.218 4.765 8.276
angles: 90.00 103.32 90.00
Sites, in units of the cell vectors:
Y1 0.000 0.000 0.000
Y2 0.500 0.500 0.000
In1 0.231 0.500 0.275
In2 0.269 0.000 0.725
In3 0.731 0.000 0.275
In4 0.769 0.500 0.725
Au1 0.095 0.000 0.378
Au2 0.126 0.500 0.824
Au3 0.374 0.000 0.176
Au4 0.405 0.500 0.622
Au5 0.595 0.500 0.378
Au6 0.626 0.000 0.824
Au7 0.874 0.500 0.176
Au8 0.905 0.000 0.622

Output
- Crystal system: monoclinic
- Calculated formation energy: -0.41 eV per atom
- Size of the total moment: 0.0000 μB per atom
- Calculated density: 11.65 g/cm³

***

Here is Y3In2Au2 after structural relaxation from the Alexandria database. Energies are from PBE-GGA.

abc: 4.458 21.897 3.550
angles: 90.00 90.00 90.00
Sites, in units of the cell vectors:
Y1 0.000 0.000 0.000
Y2 0.000 0.165 0.000
Y3 0.000 0.835 0.000
Y4 0.500 0.335 0.000
Y5 0.500 0.500 0.000
Y6 0.500 0.665 0.000
In1 0.000 0.422 0.500
In2 0.000 0.578 0.500
In3 0.500 0.078 0.500
In4 0.500 0.922 0.500
Au1 0.000 0.289 0.500
Au2 0.000 0.711 0.500
Au3 0.500 0.211 0.500
Au4 0.500 0.789 0.500

Output
- Crystal system: orthorhombic
- Calculated formation energy: -0.67 eV per atom
- Size of the total moment: 0.0299 μB per atom
- Calculated density: 8.53 g/cm³

***

Here is YIn2Au after structural relaxation from the Alexandria database. Energies are from PBE-GGA.

abc: 4.625 4.625 8.768
angles: 90.00 90.00 90.00
Sites, in units of the cell vectors:
Y1 0.000 0.000 0.000
Y2 0.500 0.500 0.500
In1 0.000 0.000 0.500
In2 0.000 0.500 0.750
In3 0.500 0.000 0.250
In4 0.500 0.500 0.000
Au1 0.000 0.500 0.250
Au2 0.500 0.000 0.750

Output
- Crystal system: tetragonal
- Calculated formation energy: -0.44 eV per atom
- Size of the total moment: 0.0000 μB per atom
- Calculated density: 9.13 g/cm³

***

Here is Y2InAu2 after structural relaxation from the Alexandria database. Energies are from PBE-GGA.

abc: 3.883 3.883 17.062
angles: 90.00 90.00 90.00
Sites, in units of the cell vectors:
Y1 0.000 0.000 0.111
Y2 0.000 0.000 0.889
Y3 0.500 0.500 0.389
Y4 0.500 0.500 0.611
In1 0.000 0.000 0.500
In2 0.500 0.500 0.000
Au1 0.000 0.500 0.250
Au2 0.000 0.500 0.750
Au3 0.500 0.000 0.250
Au4 0.500 0.000 0.750

Output
- Crystal system: tetragonal
- Calculated formation energy: -0.45 eV per atom
- Size of the total moment: 0.0000 μB per atom
- Calculated density: 8.86 g/cm³

***

Here is YInAu4 after structural relaxation from the Alexandria database. Energies are from PBE-GGA.

abc: 3.730 3.750 8.957
angles: 87.65 89.13 89.97
Sites, in units of the cell vectors:
Y1 0.000 0.000 0.000
In1 0.500 0.500 0.500
Au1 0.007 0.018 0.664
Au2 0.494 0.484 0.169
Au3 0.506 0.516 0.831
Au4 0.993 0.982 0.336

Output
- Crystal system: triclinic
- Calculated formation energy: -0.47 eV per atom
- Size of the total moment: 0.0000 μB per atom
- Distance to the lowest polymorph of the same formula: 0.28 eV per formula unit
- Calculated density: 13.16 g/cm³

***

Here is YIn2Au2 after structural relaxation from the Alexandria database. Energies are from PBE-GGA.

abc: 8.170 8.170 3.424
angles: 90.00 90.00 90.00
Sites, in units of the cell vectors:
Y1 0.000 0.000 0.000
Y2 0.500 0.500 0.000
In1 0.129 0.371 0.000
In2 0.371 0.871 0.000
In3 0.629 0.129 0.000
In4 0.871 0.629 0.000
Au1 0.171 0.671 0.500
Au2 0.329 0.171 0.500
Au3 0.671 0.829 0.500
Au4 0.829 0.329 0.500

Output
- Crystal system: tetragonal
- Calculated formation energy: -0.28 eV per atom
- Size of the total moment: 0.0903 μB per atom
- Calculated density: 10.35 g/cm³

***

Here is YIn2Au2 after structural relaxation from the Alexandria database. Energies are from PBE-GGA.

abc: 7.609 7.609 4.104
angles: 90.00 90.00 90.00
Sites, in units of the cell vectors:
Y1 0.000 0.000 0.000
Y2 0.500 0.500 0.000
In1 0.178 0.322 0.500
In2 0.322 0.822 0.500
In3 0.678 0.178 0.500
In4 0.822 0.678 0.500
Au1 0.129 0.629 0.000
Au2 0.371 0.129 0.000
Au3 0.629 0.871 0.000
Au4 0.871 0.371 0.000

Output
- Crystal system: tetragonal
- Calculated formation energy: -0.39 eV per atom
- Size of the total moment: 0.0000 μB per atom
- Calculated density: 9.96 g/cm³

***

Here is YIn3Au after structural relaxation from the Alexandria database. Energies are from PBE-GGA.

abc: 5.886 5.886 5.886
angles: 90.00 90.00 90.00
Sites, in units of the cell vectors:
Y1 0.000 0.000 0.000
In1 0.000 0.000 0.500
In2 0.000 0.500 0.000
In3 0.500 0.000 0.000
Au1 0.500 0.500 0.500

Output
- Crystal system: cubic
- Calculated formation energy: 0.82 eV per atom
- Size of the total moment: 0.0000 μB per atom
- Distance to the lowest polymorph of the same formula: 3.60 eV per formula unit
- Calculated density: 5.13 g/cm³

***

Here is YIn2Au after structural relaxation from the Alexandria database. Energies are from PBE-GGA.

abc: 3.656 3.656 27.575
angles: 90.00 90.00 120.00
Sites, in units of the cell vectors:
Y1 0.000 0.000 0.000
Y2 0.333 0.667 0.667
Y3 0.667 0.333 0.333
In1 0.000 0.000 0.519
In2 0.000 0.000 0.761
In3 0.333 0.667 0.185
In4 0.333 0.667 0.427
In5 0.667 0.333 0.094
In6 0.667 0.333 0.852
Au1 0.000 0.000 0.261
Au2 0.333 0.667 0.928
Au3 0.667 0.333 0.594

Output
- Crystal system: trigonal
- Calculated formation energy: -0.27 eV per atom
- Size of the total moment: 0.0000 μB per atom
- Calculated density: 8.05 g/cm³